# SrLaPu2Se4

A relaxed structure of SrLaPu2Se4 (PBE, Alexandria).

The structure in POSCAR format:
```
SrLaPu2Se4
1.0
7.378 0.000 0.000
0.000 4.248 0.000
-2.450 0.000 6.983
Sr La Pu Se
1 1 2 4
direct
0.000 0.000 0.000
0.500 0.500 0.000
0.000 0.500 0.500
0.500 0.000 0.500
0.247 0.000 0.738
0.256 0.500 0.263
0.744 0.500 0.737
0.753 0.000 0.262
```

Computed properties:
calculated density: 7.82 g cm⁻³
uncorrected formation energy: -1.7445 eV per atom